[1]
VASP calculation (GGA-PBE) on an optimized crystal structure of TlIr.

abc: 5.463 5.463 5.527
angles: 90.00 90.00 90.00
Fractional positions:
Tl1 0.197 0.197 0.000
Tl2 0.697 0.303 0.500
Tl3 0.303 0.697 0.500
Tl4 0.803 0.803 0.000
Ir1 0.318 0.682 0.000
Ir2 0.818 0.818 0.500
Ir3 0.182 0.182 0.500
Ir4 0.682 0.318 0.000

Results
Calculated total energy = -0.3518 Ry/atom
Crystal system = tetragonal


[2]
VASP calculation (GGA-PBE) on an optimized crystal structure of Cd2PbCl6.

abc: 4.315 7.125 10.057
angles: 92.74 90.00 107.63
Fractional positions:
Cd1 0.744 0.487 0.803
Cd2 0.256 0.513 0.197
Pb1 0.000 0.000 0.500
Cl1 0.919 0.838 0.759
Cl2 0.826 0.651 0.106
Cl3 0.174 0.349 0.894
Cl4 0.640 0.280 0.576
Cl5 0.360 0.720 0.424
Cl6 0.081 0.162 0.241

Results
Calculated total energy = -0.2140 Ry/atom
Crystal system = monoclinic
Energy relative to the elements, uncorrected = -1066 meV/atom


Here are the calculated D(E_F) numbers, same order: 8.08; 0.00 (states/eV/cell).